The following is a DFT calculation (GGA-PBE) of a relaxed structure of Tm6SnBi2Te3. Values from VASP.

Summary:
Raw total energy: -5.003 eV per atom
Fermi-level density of states: 3.8 states/eV per cell
Formation energy (no corrections): -1002 meV/atom

Structure (Quantum ESPRESSO input):
```
&SYSTEM
  ibrav = 0, nat = 12, ntyp = 4
/
ATOMIC_SPECIES
Tm 168.93 Tm.upf
Sn 118.71 Sn.upf
Bi 208.98 Bi.upf
Te 127.60 Te.upf
CELL_PARAMETERS angstrom
9.5089 -2.1873 0.0000
9.5089 2.1873 0.0000
-1.9342 0.0000 8.4963
ATOMIC_POSITIONS angstrom
Tm 18.5565 0.0000 2.0095
Tm -1.4728 0.0000 6.4868
Tm 5.5369 0.0000 3.5527
Tm 4.6823 0.0000 7.8030
Tm 12.4014 0.0000 0.6934
Tm 11.5468 0.0000 4.9436
Sn 9.5089 0.0000 0.0000
Bi 2.5305 0.0000 2.8409
Bi 14.5532 0.0000 5.6554
Te 1.6041 0.0000 7.0871
Te 8.5419 0.0000 4.2482
Te 15.4796 0.0000 1.4092
```